The following is a DFT calculation (GGA-PBE) of a relaxed structure of Li2TaRe.

Summary:
Electronic total energy (hartree per atom): -0.2453
Offset from the most stable computed form (meV/atom): 194
N(E_F) (states/eV/f.u.): 2.3
Crystal system: tetragonal
Formation energy from the elements (eV/atom): 0.358
Size of the total moment (μB per formula unit): 0.00
Mass density (g/cm3): 10.1

abc: 3.653 3.653 9.428
angles: 90.00 90.00 90.00
Space group I4/mmm (No. 139)
Unique sites:
Li1 0.000 0.500 0.250
Ta1 0.000 0.000 0.000
Re1 0.000 0.000 0.500